VASP calculation (PBE) on HfSc2PtRh after structural relaxation.

Cell lengths 5.0777, 4.7319, 5.0777 Å; angles 90.00, 90.00, 90.00 degrees
Last column: magnetic moment on the atom in μB.
Sites, in units of the cell vectors:
Pt  0.0000  0.5000  0.0000  0.04
Hf  0.0000  0.0000  0.0000  0.03
Sc  0.5000  0.0000  0.0000  -0.04
Sc  0.0000  0.0000  0.5000  0.00
Rh  0.5000  0.5000  0.5000  0.74

* electronic total energy: -31.4 eV/cell
* energy of formation: 917 meV per atom